An optimized crystal structure of CaNdCl6, computed with PBE.

Results
Uncorrected formation energy in kcal/mol of atoms: -42.8

The structure in CIF format:
```
data_CaNdCl6
_cell_length_a 10.947
_cell_length_b 10.947
_cell_length_c 10.947
_cell_angle_alpha 90.00
_cell_angle_beta 90.00
_cell_angle_gamma 90.00
_space_group_name_H-M_alt 'F m -3 m'
_space_group_IT_number 225
_space_group_name_Hall '-F 4 2 3'
loop_
_atom_site_label
_atom_site_type_symbol
_atom_site_fract_x
_atom_site_fract_y
_atom_site_fract_z
Ca1 Ca 0.000 0.000 0.000
Nd1 Nd 0.000 0.000 0.500
Cl1 Cl 0.000 0.000 0.250
```